PBE-GGA Zr2AlFe, relaxed; energy of formation = -12 meV per atom; size of the total moment = 0.6 μB/f.u.
1.0
1.6102 0.9297 8.4218
-1.6102 0.9297 8.4218
0.0000 -1.8593 8.4218
Zr Al Fe
2 1 1
direct
0.2403 0.2403 0.2403 Zr
0.7597 0.7597 0.7597 Zr
0.0000 0.0000 0.0000 Al
0.5000 0.5000 0.5000 Fe

PBE-GGA Zr2Al6Fe, relaxed; energy of formation = -90 meV per atom; size of the total moment = 0.0 μB/f.u.
1.0
7.8122 0.0000 0.0000
-3.9061 6.7656 0.0000
0.0000 0.0000 2.9879
Zr Al Fe
2 6 1
direct
0.3333 0.6667 0.0000 Zr
0.6667 0.3333 0.0000 Zr
0.0000 0.2467 0.0000 Al
0.0000 0.6630 0.5000 Al
0.2467 0.0000 0.0000 Al
0.3370 0.3370 0.5000 Al
0.6630 0.0000 0.5000 Al
0.7533 0.7533 0.0000 Al
0.0000 0.0000 0.5000 Fe

PBE-GGA ZrAl2Fe, relaxed; energy of formation = -166 meV per atom; size of the total moment = 1.9 μB/f.u.
1.0
2.9024 0.0000 0.0000
0.0000 4.2895 0.0000
-0.7492 0.0000 5.2780
Zr Al Fe
1 2 1
direct
0.0000 0.0000 0.0000 Zr
0.5486 0.0000 0.5140 Al
0.5710 0.5000 0.2362 Al
0.2031 0.5000 0.6923 Fe

Number 1: density of states at the Fermi level 2.95 states/eV/f.u.. Number 2: density of states at the Fermi level 8.10 states/eV/f.u.. Number 3: density of states at the Fermi level 2.52 states/eV/f.u..